No. 1
An optimized crystal structure of Sm8Te4S3N, computed with PBE.

Summary:
* density of states at the Fermi level: 5.06 states/eV/cell
* formation energy (no corrections): -1624 meV per atom
* energy: -0.223 Ha/atom

a = 8.524 Å, b = 8.524 Å, c = 8.524 Å
α = 57.59°, β = 57.59°, γ = 57.59°
Positions (direct):
Sm (0.235, 0.235, 0.235)
Sm (0.257, 0.720, 0.720)
Sm (0.280, 0.280, 0.743)
Sm (0.280, 0.743, 0.280)
Sm (0.720, 0.257, 0.720)
Sm (0.720, 0.720, 0.257)
Sm (0.743, 0.280, 0.280)
Sm (0.765, 0.765, 0.765)
Te (0.000, 0.000, 0.000)
Te (0.000, 0.500, 0.500)
Te (0.500, 0.000, 0.500)
Te (0.500, 0.500, 0.000)
S (0.000, 0.000, 0.500)
S (0.000, 0.500, 0.000)
S (0.500, 0.000, 0.000)
N (0.500, 0.500, 0.500)

No. 2
An optimized crystal structure of Pu3HgSe6, computed with PBE.

Summary:
* density of states at the Fermi level: 50.82 states/eV/cell
* formation energy (no corrections): -1134 meV per atom
* energy: -0.278 Ha/atom

a = 8.865 Å, b = 8.865 Å, c = 6.948 Å
α = 90.00°, β = 90.00°, γ = 101.71°
Positions (direct):
Pu (0.099, 0.901, 0.500)
Pu (0.220, 0.417, 0.405)
Pu (0.417, 0.220, 0.905)
Pu (0.583, 0.780, 0.405)
Pu (0.780, 0.583, 0.905)
Pu (0.901, 0.099, 0.000)
Hg (0.292, 0.708, 0.872)
Hg (0.708, 0.292, 0.372)
Se (0.040, 0.589, 0.655)
Se (0.126, 0.197, 0.705)
Se (0.197, 0.126, 0.205)
Se (0.275, 0.725, 0.247)
Se (0.411, 0.960, 0.655)
Se (0.472, 0.528, 0.689)
Se (0.528, 0.472, 0.189)
Se (0.589, 0.040, 0.155)
Se (0.725, 0.275, 0.747)
Se (0.803, 0.874, 0.705)
Se (0.874, 0.803, 0.205)
Se (0.960, 0.411, 0.155)

No. 3
An optimized crystal structure of Na5ZnIn6, computed with PBE.

Summary:
* density of states at the Fermi level: 3.63 states/eV/cell
* energy of formation: -0.04 eV per atom
* energy: -0.076 Ha/atom

a = 5.878 Å, b = 5.878 Å, c = 10.848 Å
α = 95.48°, β = 95.48°, γ = 120.15°
Positions (direct):
Na (0.000, 0.000, 0.000)
Na (0.166, 0.834, 0.500)
Na (0.332, 0.668, 0.000)
Na (0.668, 0.332, 0.000)
Na (0.834, 0.166, 0.500)
Zn (0.500, 0.500, 0.500)
In (0.095, 0.420, 0.258)
In (0.255, 0.255, 0.743)
In (0.420, 0.095, 0.258)
In (0.580, 0.905, 0.742)
In (0.745, 0.745, 0.257)
In (0.905, 0.580, 0.742)